Entry from the Alexandria database: Y4Ho4Mg after structural relaxation (PBE).

a = 10.565 Å, b = 10.565 Å, c = 4.980 Å
α = 90.00°, β = 90.00°, γ = 90.00°
Space group I4/mmm (No. 139)
Inequivalent atoms, fractional coordinates:
Y 0.166 0.166 0.000 [8 per cell]
Ho 0.000 0.336 0.500 [8 per cell]
Mg 0.000 0.000 0.500 [2 per cell]

Output
The total energy is -91.00 eV/cell. The value obtained for the energy relative to the elements is 0.0291 eV per atom.

***

Entry from the Alexandria database: ErCo2NiH8 after structural relaxation (PBE).

a = 4.3879 Å, b = 4.3879 Å, c = 15.2524 Å
α = 90.00°, β = 90.00°, γ = 120.00°
Space group R-3 (No. 148, hexagonal axes)
Inequivalent atoms, fractional coordinates:
Er 0.0000 0.0000 0.0000 [3 per cell]
Co 0.0000 0.0000 0.2032 [6 per cell]
Ni 0.0000 0.0000 0.5000 [3 per cell]
H 0.0000 0.0000 0.3073 [6 per cell]
H 0.0168 0.3006 0.1199 [18 per cell]

Output
The total energy is -161.19 eV/cell.